This record from the Alexandria database describes a relaxed structure of Rb2MgNiH6. The functional is PBE.

Results
* space group: P-3m1 (164)

a b c (Å): 4.872 6.065 6.065
angles (deg): 120.00 90.00 90.00
Site moments in Bohr magnetons follow the coordinates.
Atoms (fractional coordinates):
Rb  0.786  0.667  0.333  0.01
Rb  0.214  0.333  0.667  0.01
H  0.205  0.869  0.738  0.02
H  0.795  0.131  0.869  0.02
H  0.205  0.262  0.131  0.02
H  0.205  0.869  0.131  0.02
H  0.795  0.131  0.262  0.02
H  0.795  0.738  0.869  0.02
Ni  0.000  0.000  0.000  0.78
Mg  0.500  0.000  0.000  0.01

This record from the Alexandria database describes a relaxed structure of Mg2NiHRh. The functional is PBE.

Results
* energy above the most stable polymorph in this dataset: 33 meV/atom
* space group: P4/mmm (123)

a b c (Å): 4.300 4.300 3.421
angles (deg): 90.00 90.00 90.00
Atoms (fractional coordinates):
Ni  0.500  0.500  0.500
Mg  0.500  0.000  0.000
Mg  0.000  0.500  0.000
H  0.000  0.000  0.000
Rh  0.000  0.000  0.500

This record from the Alexandria database describes a relaxed structure of Mg2NiH6Rh. The functional is PBE.

Results
* space group: P-1 (2)

a b c (Å): 4.856 4.855 4.844
angles (deg): 120.10 120.12 90.20
Atoms (fractional coordinates):
Ni  0.000  0.000  0.000
Mg  0.750  0.251  0.500
Mg  0.250  0.750  0.500
H  0.272  0.275  0.487
H  0.781  0.783  0.052
H  0.756  0.245  0.998
H  0.244  0.756  0.002
H  0.727  0.726  0.513
H  0.219  0.217  0.947
Rh  0.500  0.500  0.000

This record from the Alexandria database describes a relaxed structure of Mg2Ni3H8Rh. The functional is PBE.

Results
* space group: R3m (160)

a b c (Å): 5.214 5.214 5.521
angles (deg): 61.82 61.82 60.00
Atoms (fractional coordinates):
H  0.239  0.239  0.827
H  0.259  0.775  0.191
H  0.281  0.281  0.156
H  0.695  0.239  0.827
H  0.775  0.259  0.191
H  0.775  0.775  0.191
H  0.239  0.695  0.827
H  0.732  0.732  0.804
Ni  0.501  0.998  0.000
Ni  0.998  0.501  0.000
Ni  0.501  0.501  0.000
Mg  0.501  0.501  0.497
Mg  0.138  0.138  0.585
Rh  0.859  0.859  0.424

This record from the Alexandria database describes a relaxed structure of MgNi4H8Rh. The functional is PBE.

Results
* space group: R3m (160)

a b c (Å): 5.153 5.153 5.406
angles (deg): 61.54 61.54 60.00
Atoms (fractional coordinates):
H  0.218  0.218  0.346
H  0.236  0.236  0.711
H  0.818  0.236  0.711
H  0.236  0.818  0.711
H  0.763  0.763  0.711
H  0.234  0.749  0.268
H  0.749  0.749  0.268
H  0.749  0.234  0.268
Ni  0.506  0.999  0.495
Ni  0.999  0.999  0.495
Ni  0.999  0.506  0.495
Ni  0.634  0.634  0.097
Rh  0.001  0.001  0.997
Mg  0.359  0.359  0.924

This record from the Alexandria database describes a relaxed structure of Mg2NiHRh. The functional is PBE.

Results
* energy above the most stable polymorph in this dataset: 0 meV/atom
* space group: P4/mmm (123)

a b c (Å): 4.330 4.330 3.268
angles (deg): 90.00 90.00 90.00
Atoms (fractional coordinates):
Rh  0.500  0.500  0.500
H  0.000  0.000  0.000
Mg  0.000  0.500  0.000
Mg  0.500  0.000  0.000
Ni  0.000  0.000  0.500

Number 1: electronic total energy -30.98 eV per cell. Number 2: electronic total energy -21.07 eV per cell. Number 3: electronic total energy -38.87 eV per cell. Number 4: electronic total energy -56.19 eV per cell. Number 5: electronic total energy -59.94 eV per cell. Number 6: electronic total energy -21.23 eV per cell.